[1]
Co2IrOs: optimized geometry, GGA-PBE.

Computed properties:
DOS(E_F) ... 1.384 states/eV/atom
Polymorph energy (0 for the lowest one) ... 90 meV per atom
Size of the total moment ... 3.598 μB per formula unit
Crystal system ... trigonal
ΔH_f (0 K) ... 0.60 eV/f.u.
ρ ... 16.0 g cm⁻³

a = 2.6760 Å, b = 2.6760 Å, c = 25.1830 Å
α = 90.00°, β = 90.00°, γ = 120.00°
Space group R3m (No. 160, hexagonal axes)
Unique sites:
Co 0.0000 0.0000 0.0000 (multiplicity 3)
Co 0.0000 0.0000 0.2564 (multiplicity 3)
Ir 0.0000 0.0000 0.7507 (multiplicity 3)
Os 0.0000 0.0000 0.5064 (multiplicity 3)

=====

[2]
Co2Ir5Os: optimized geometry, GGA-PBE.

Computed properties:
DOS(E_F) ... 1.481 states/eV/atom
Size of the total moment ... 0.046 μB per formula unit
Crystal system ... tetragonal
ΔH_f (0 K) ... 2.40 eV/f.u.
ρ ... 18.9 g cm⁻³

a = 6.426 Å, b = 6.426 Å, c = 10.798 Å
α = 90.00°, β = 90.00°, γ = 90.00°
Space group I4/mcm (No. 140)
Unique sites:
Co 0.136 0.364 0.000 (multiplicity 8)
Ir 0.000 0.000 0.000 (multiplicity 4)
Ir 0.150 0.350 0.340 (multiplicity 16)
Os 0.000 0.000 0.250 (multiplicity 4)

=====

[3]
Co4IrOs: optimized geometry, GGA-PBE.

Computed properties:
DOS(E_F) ... 1.329 states/eV/atom
Size of the total moment ... 1.485 μB per formula unit
Crystal system ... cubic
ΔH_f (0 K) ... 1.31 eV/f.u.
ρ ... 14.7 g cm⁻³

a = 6.533 Å, b = 6.533 Å, c = 6.533 Å
α = 90.00°, β = 90.00°, γ = 90.00°
Space group F-43m (No. 216)
Unique sites:
Co 0.125 0.125 0.125 (multiplicity 16)
Ir 0.250 0.250 0.750 (multiplicity 4)
Os 0.000 0.000 0.500 (multiplicity 4)

=====

[4]
CoIr6Os2: optimized geometry, GGA-PBE.

Computed properties:
DOS(E_F) ... 0.956 states/eV/atom
Polymorph energy (0 for the lowest one) ... 882 meV per atom
Size of the total moment ... 0.000 μB per formula unit
Crystal system ... hexagonal
ΔH_f (0 K) ... 8.22 eV/f.u.
ρ ... 15.1 g cm⁻³

a = 3.7683 Å, b = 3.7683 Å, c = 14.2359 Å
α = 90.00°, β = 90.00°, γ = 120.00°
Space group P-6m2 (No. 187)
Unique sites:
Co 0.0000 0.0000 0.0000 (multiplicity 1)
Ir 0.0000 0.0000 0.1765 (multiplicity 2)
Ir 0.0000 0.0000 0.3431 (multiplicity 2)
Ir 0.3333 0.6667 0.4160 (multiplicity 2)
Os 0.3333 0.6667 0.0905 (multiplicity 2)

=====

[5]
Co2IrOs: optimized geometry, GGA-PBE.

Computed properties:
DOS(E_F) ... 1.162 states/eV/atom
Polymorph energy (0 for the lowest one) ... 0 meV per atom
Size of the total moment ... 1.808 μB per formula unit
Crystal system ... tetragonal
ΔH_f (0 K) ... 0.24 eV/f.u.
ρ ... 16.5 g cm⁻³

a = 3.659 Å, b = 3.659 Å, c = 7.507 Å
α = 90.00°, β = 90.00°, γ = 90.00°
Space group I-4m2 (No. 119)
Unique sites:
Co 0.000 0.000 0.000 (multiplicity 2)
Co 0.000 0.500 0.250 (multiplicity 2)
Ir 0.000 0.500 0.750 (multiplicity 2)
Os 0.000 0.000 0.500 (multiplicity 2)

=====

[6]
Co2IrOs: optimized geometry, GGA-PBE.

Computed properties:
DOS(E_F) ... 1.081 states/eV/atom
Polymorph energy (0 for the lowest one) ... 1141 meV per atom
Size of the total moment ... 0.000 μB per formula unit
Crystal system ... tetragonal
ΔH_f (0 K) ... 4.80 eV/f.u.
ρ ... 11.8 g cm⁻³

a = 5.229 Å, b = 5.229 Å, c = 10.326 Å
α = 90.00°, β = 90.00°, γ = 90.00°
Space group I-42d (No. 122)
Unique sites:
Co 0.248 0.250 0.125 (multiplicity 8)
Ir 0.000 0.000 0.500 (multiplicity 4)
Os 0.000 0.000 0.000 (multiplicity 4)

=====

[7]
Co2IrOs2: optimized geometry, GGA-PBE.

Computed properties:
DOS(E_F) ... 1.106 states/eV/atom
Polymorph energy (0 for the lowest one) ... 415 meV per atom
Size of the total moment ... 0.000 μB per formula unit
Crystal system ... tetragonal
ΔH_f (0 K) ... 3.60 eV/f.u.
ρ ... 16.3 g cm⁻³

a = 3.827 Å, b = 3.827 Å, c = 9.589 Å
α = 90.00°, β = 90.00°, γ = 90.00°
Space group I4/mmm (No. 139)
Unique sites:
Co 0.000 0.000 0.106 (multiplicity 4)
Ir 0.000 0.000 0.500 (multiplicity 2)
Os 0.000 0.500 0.250 (multiplicity 4)

=====

[8]
Co2IrOs: optimized geometry, GGA-PBE.

Computed properties:
DOS(E_F) ... 1.436 states/eV/atom
Polymorph energy (0 for the lowest one) ... 334 meV per atom
Size of the total moment ... 4.014 μB per formula unit
Crystal system ... orthorhombic
ΔH_f (0 K) ... 1.57 eV/f.u.
ρ ... 15.6 g cm⁻³

a = 2.704 Å, b = 4.534 Å, c = 8.713 Å
α = 90.00°, β = 90.00°, γ = 90.00°
Space group Cmm2 (No. 35)
Unique sites:
Co 0.000 0.000 0.000 (multiplicity 2)
Co 0.000 0.500 0.228 (multiplicity 2)
Ir 0.000 0.000 0.480 (multiplicity 2)
Os 0.000 0.500 0.751 (multiplicity 2)

=====

[9]
Co2IrOs: optimized geometry, GGA-PBE.

Computed properties:
DOS(E_F) ... 1.327 states/eV/atom
Polymorph energy (0 for the lowest one) ... 22 meV per atom
Size of the total moment ... 2.047 μB per formula unit
Crystal system ... orthorhombic
ΔH_f (0 K) ... 0.33 eV/f.u.
ρ ... 16.4 g cm⁻³

a = 2.667 Å, b = 3.690 Å, c = 5.159 Å
α = 90.00°, β = 90.00°, γ = 90.00°
Space group Pmm2 (No. 25)
Unique sites:
Co 0.000 0.000 0.000 (multiplicity 1)
Co 0.500 0.500 0.229 (multiplicity 1)
Ir 0.000 0.000 0.489 (multiplicity 1)
Os 0.500 0.500 0.751 (multiplicity 1)

=====

[10]
Co2IrOs: optimized geometry, GGA-PBE.

Computed properties:
DOS(E_F) ... 1.838 states/eV/atom
Polymorph energy (0 for the lowest one) ... 251 meV per atom
Size of the total moment ... 2.593 μB per formula unit
Crystal system ... cubic
ΔH_f (0 K) ... 1.24 eV/f.u.
ρ ... 16.4 g cm⁻³

a = 5.872 Å, b = 5.872 Å, c = 5.872 Å
α = 90.00°, β = 90.00°, γ = 90.00°
Space group Fm-3m (No. 225)
Unique sites:
Co 0.250 0.250 0.250 (multiplicity 8)
Ir 0.000 0.000 0.000 (multiplicity 4)
Os 0.000 0.000 0.500 (multiplicity 4)

=====

[11]
CoIr3Os: optimized geometry, GGA-PBE.

Computed properties:
DOS(E_F) ... 1.550 states/eV/atom
Polymorph energy (0 for the lowest one) ... 1781 meV per atom
Size of the total moment ... 0.930 μB per formula unit
Crystal system ... cubic
ΔH_f (0 K) ... 9.10 eV/f.u.
ρ ... 16.5 g cm⁻³

a = 4.367 Å, b = 4.367 Å, c = 4.367 Å
α = 90.00°, β = 90.00°, γ = 90.00°
Space group Pm-3m (No. 221)
Unique sites:
Co 0.000 0.000 0.000 (multiplicity 1)
Ir 0.000 0.000 0.500 (multiplicity 3)
Os 0.500 0.500 0.500 (multiplicity 1)

=====

[12]
Co2IrOs: optimized geometry, GGA-PBE.

Computed properties:
DOS(E_F) ... 1.665 states/eV/atom
Polymorph energy (0 for the lowest one) ... 305 meV per atom
Size of the total moment ... 4.406 μB per formula unit
Crystal system ... orthorhombic
ΔH_f (0 K) ... 1.46 eV/f.u.
ρ ... 15.5 g cm⁻³

a = 2.698 Å, b = 4.385 Å, c = 4.520 Å
α = 90.00°, β = 90.00°, γ = 90.00°
Space group Pmmm (No. 47)
Unique sites:
Co 0.000 0.000 0.000 (multiplicity 1)
Co 0.500 0.000 0.500 (multiplicity 1)
Ir 0.000 0.500 0.500 (multiplicity 1)
Os 0.500 0.500 0.000 (multiplicity 1)

=====

[13]
Co6Ir12Os: optimized geometry, GGA-PBE.

Computed properties:
DOS(E_F) ... 1.447 states/eV/atom
Size of the total moment ... 7.429 μB per formula unit
Crystal system ... trigonal
ΔH_f (0 K) ... 5.57 eV/f.u.
ρ ... 17.6 g cm⁻³

a = 10.5803 Å, b = 10.5803 Å, c = 8.3231 Å
α = 90.00°, β = 90.00°, γ = 120.00°
Space group R-3m (No. 166, hexagonal axes)
Unique sites:
Co 0.0819 0.1639 0.2486 (multiplicity 18)
Ir 0.0000 0.2552 0.5000 (multiplicity 18)
Ir 0.0823 0.5412 0.6150 (multiplicity 18)
Os 0.0000 0.0000 0.5000 (multiplicity 3)

=====

[14]
Co2IrOs: optimized geometry, GGA-PBE.

Computed properties:
DOS(E_F) ... 1.636 states/eV/atom
Polymorph energy (0 for the lowest one) ... 304 meV per atom
Size of the total moment ... 4.447 μB per formula unit
Crystal system ... orthorhombic
ΔH_f (0 K) ... 1.45 eV/f.u.
ρ ... 15.5 g cm⁻³

a = 2.711 Å, b = 4.519 Å, c = 8.724 Å
α = 90.00°, β = 90.00°, γ = 90.00°
Space group Immm (No. 71)
Unique sites:
Co 0.000 0.000 0.247 (multiplicity 4)
Ir 0.000 0.500 0.000 (multiplicity 2)
Os 0.000 0.500 0.500 (multiplicity 2)

=====

[15]
Co2IrOs: optimized geometry, GGA-PBE.

Computed properties:
DOS(E_F) ... 1.056 states/eV/atom
Polymorph energy (0 for the lowest one) ... 61 meV per atom
Size of the total moment ... 2.125 μB per formula unit
Crystal system ... tetragonal
ΔH_f (0 K) ... 0.48 eV/f.u.
ρ ... 16.5 g cm⁻³

a = 3.734 Å, b = 3.734 Å, c = 3.609 Å
α = 90.00°, β = 90.00°, γ = 90.00°
Space group P4/mmm (No. 123)
Unique sites:
Co 0.000 0.500 0.000 (multiplicity 2)
Ir 0.000 0.000 0.500 (multiplicity 1)
Os 0.500 0.500 0.500 (multiplicity 1)

=====

[16]
Co2IrOs: optimized geometry, GGA-PBE.

Computed properties:
DOS(E_F) ... 1.277 states/eV/atom
Polymorph energy (0 for the lowest one) ... 51 meV per atom
Size of the total moment ... 2.376 μB per formula unit
Crystal system ... orthorhombic
ΔH_f (0 K) ... 0.44 eV/f.u.
ρ ... 16.5 g cm⁻³

a = 3.963 Å, b = 2.642 Å, c = 9.613 Å
α = 90.00°, β = 90.00°, γ = 90.00°
Space group Amm2 (No. 38)
Unique sites:
Co 0.000 0.000 0.000 (multiplicity 2)
Co 0.500 0.000 0.128 (multiplicity 2)
Ir 0.000 0.000 0.740 (multiplicity 2)
Os 0.500 0.000 0.391 (multiplicity 2)

=====

[17]
CoIr3Os4: optimized geometry, GGA-PBE.

Computed properties:
DOS(E_F) ... 0.763 states/eV/atom
Size of the total moment ... 1.620 μB per formula unit
Crystal system ... orthorhombic
ΔH_f (0 K) ... 0.16 eV/f.u.
ρ ... 20.7 g cm⁻³

a = 8.692 Å, b = 5.451 Å, c = 4.733 Å
α = 90.00°, β = 90.00°, γ = 90.00°
Space group Pmn2_1 (No. 31)
Unique sites:
Co 0.000 0.126 0.000 (multiplicity 2)
Ir 0.000 0.372 0.499 (multiplicity 2)
Ir 0.248 0.877 0.166 (multiplicity 4)
Os 0.000 0.626 0.996 (multiplicity 2)
Os 0.000 0.876 0.500 (multiplicity 2)
Os 0.249 0.626 0.663 (multiplicity 4)

=====

[18]
Co2Ir8Os: optimized geometry, GGA-PBE.

Computed properties:
DOS(E_F) ... 1.189 states/eV/atom
Size of the total moment ... 2.801 μB per formula unit
Crystal system ... orthorhombic
ΔH_f (0 K) ... 1.80 eV/f.u.
ρ ... 19.5 g cm⁻³

a = 3.950 Å, b = 6.652 Å, c = 11.957 Å
α = 90.00°, β = 90.00°, γ = 90.00°
Space group Immm (No. 71)
Unique sites:
Co 0.000 0.000 0.198 (multiplicity 4)
Ir 0.000 0.209 0.000 (multiplicity 4)
Ir 0.000 0.289 0.345 (multiplicity 8)
Ir 0.000 0.500 0.154 (multiplicity 4)
Os 0.000 0.000 0.500 (multiplicity 2)

=====

[19]
CoIr4Os2: optimized geometry, GGA-PBE.

Computed properties:
DOS(E_F) ... 1.057 states/eV/atom
Size of the total moment ... 1.737 μB per formula unit
Crystal system ... orthorhombic
ΔH_f (0 K) ... 1.08 eV/f.u.
ρ ... 20.1 g cm⁻³

a = 2.718 Å, b = 26.908 Å, c = 2.729 Å
α = 90.00°, β = 90.00°, γ = 90.00°
Space group Cmmm (No. 65)
Unique sites:
Co 0.000 0.000 0.000 (multiplicity 2)
Ir 0.000 0.139 0.000 (multiplicity 4)
Ir 0.000 0.435 0.500 (multiplicity 4)
Os 0.000 0.292 0.500 (multiplicity 4)

=====

[20]
Co2IrOs: optimized geometry, GGA-PBE.

Computed properties:
DOS(E_F) ... 1.005 states/eV/atom
Polymorph energy (0 for the lowest one) ... 15 meV per atom
Size of the total moment ... 1.882 μB per formula unit
Crystal system ... monoclinic
ΔH_f (0 K) ... 0.30 eV/f.u.
ρ ... 16.5 g cm⁻³

a = 8.694 Å, b = 2.651 Å, c = 4.453 Å
α = 90.00°, β = 100.38°, γ = 90.00°
Space group Cm (No. 8)
Unique sites:
Co 0.000 0.000 0.000 (multiplicity 2)
Co 0.247 0.500 0.233 (multiplicity 2)
Ir 0.249 0.000 0.740 (multiplicity 2)
Os 0.497 0.000 0.484 (multiplicity 2)